DFT (PBE-GGA) results for a relaxed structure of TiCu6Pd8.

Cell and atoms, written as POSCAR:
```
TiCu6Pd8
1.0
-1.2640 -0.1613 -6.0672
1.9925 -5.6369 -1.6402
-5.2562 -3.2818 -0.1926
Pd Cu Ti
8 6 1
Cartesian
-4.7493 -3.1583 -2.5371 Pd
0.2216 -5.9217 -5.3629 Pd
-3.4346 -6.8879 -5.9928 Pd
-3.8892 -6.6281 -2.1949 Pd
-1.0931 -2.1921 -1.9072 Pd
-0.3808 -5.9582 -1.8228 Pd
-4.1470 -3.1217 -6.0772 Pd
-0.6385 -2.4518 -5.7051 Pd
-0.4582 -4.0684 -3.6907 Cu
-2.4786 -4.4626 -2.0797 Cu
-1.8644 -6.3806 -3.8995 Cu
-2.6633 -2.6993 -4.0005 Cu
-2.0491 -4.6173 -5.8203 Cu
-4.0695 -5.0115 -4.2093 Cu
0.0000 0.0000 0.0000 Ti
```

Summary:
D(E_F) = 0.46 states/eV per atom
ΔE_f = -0.0655 eV/atom